A geometry-optimized Ac3La5Tb2 structure, computed with PBE.

Properties
ρ	7.25	g/cm3
DFT formation energy	171	meV per atom
total moment	0.00	Bohr magnetons per cell

```
Ac3La5Tb2
1.0
5.620 -7.574 0.000
5.620 7.574 0.000
-5.529 0.000 9.114
Ac La Tb
6 10 4
direct
0.011 0.989 0.750
0.223 0.474 0.446
0.474 0.223 0.946
0.526 0.777 0.054
0.777 0.526 0.554
0.989 0.011 0.250
0.125 0.382 0.753
0.229 0.771 0.750
0.262 0.738 0.250
0.382 0.125 0.253
0.472 0.528 0.250
0.528 0.472 0.750
0.618 0.875 0.747
0.738 0.262 0.750
0.771 0.229 0.250
0.875 0.618 0.247
0.026 0.294 0.063
0.294 0.026 0.563
0.706 0.974 0.437
0.974 0.706 0.937
```